Here is an optimized crystal structure of ZrHgCl6 from the Alexandria database. Energies are from PBE.

Lattice parameters (Å, degrees): 6.5259 6.5292 7.0178 117.67 90.04 119.98
Closest atoms and distances in Å follow each position.
Positions (direct):
Zr 0.0000 0.0000 0.0000  6 Cl 2.49-2.50
Hg 0.5000 0.0000 0.5000  6 Cl 2.72-2.73
Cl 0.0792 0.8453 0.2402  1 Zr 2.50, 1 Hg 2.72
Cl 0.2338 0.8392 0.7601  1 Zr 2.50, 1 Hg 2.72
Cl 0.3944 0.4733 0.2397  1 Zr 2.49, 1 Hg 2.73
Cl 0.6056 0.5267 0.7603  1 Zr 2.49, 1 Hg 2.73
Cl 0.7662 0.1608 0.2399  1 Zr 2.50, 1 Hg 2.72
Cl 0.9208 0.1547 0.7598  1 Zr 2.50, 1 Hg 2.72

Results
The space group is P-1. Its calculated volume is 218.6 Å³/cell. The calculation puts the relative energy among the computed polymorphs at 5 meV/atom. The uncorrected formation energy is -1273 meV per atom.

***

Here is an optimized crystal structure of PuAgHg2 from the Alexandria database. Energies are from PBE.

Lattice parameters (Å, degrees): 3.2912 3.2912 10.1475 99.32 99.32 59.85
Closest atoms and distances in Å follow each position.
Positions (direct):
Pu 0.0000 0.0000 0.0000  6 Hg 3.27-3.28, 6 Pu 3.28-3.29
Ag 0.8319 0.8319 0.4986  6 Hg 2.98-3.00, 6 Ag 3.28-3.29
Hg 0.2427 0.2427 0.7313  3 Ag 3.00, 3 Pu 3.28, 6 Hg 3.28-3.29
Hg 0.4217 0.4217 0.2677  3 Ag 2.98-2.99, 3 Pu 3.27-3.28, 6 Hg 3.28-3.29

Results
The space group is Cm. Its calculated volume is 93.4 Å³/cell. As for the formation enthalpy at 0 K: 0.030 eV per atom.

***

Here is an optimized crystal structure of AcPr3Nd3 from the Alexandria database. Energies are from PBE.

Lattice parameters (Å, degrees): 8.3642 8.3642 8.3642 72.49 72.49 72.49
Closest atoms and distances in Å follow each position.
Positions (direct):
Ac 0.2493 0.2493 0.2493  6 Nd 3.75, 6 Pr 3.75-3.76
Ac 0.7507 0.7507 0.7507  6 Nd 3.75, 6 Pr 3.75-3.76
Pr 0.1809 0.6095 0.4626  5 Nd 3.71-3.76, 5 Pr 3.71-3.80, 2 Ac 3.75-3.76
Pr 0.3905 0.5374 0.8191  5 Nd 3.71-3.76, 5 Pr 3.71-3.80, 2 Ac 3.75-3.76
Pr 0.4626 0.1809 0.6095  5 Nd 3.71-3.76, 5 Pr 3.71-3.80, 2 Ac 3.75-3.76
Pr 0.5374 0.8191 0.3905  5 Nd 3.71-3.76, 5 Pr 3.71-3.80, 2 Ac 3.75-3.76
Pr 0.6095 0.4626 0.1809  5 Nd 3.71-3.76, 5 Pr 3.71-3.80, 2 Ac 3.75-3.76
Pr 0.8191 0.3905 0.5374  5 Nd 3.71-3.76, 5 Pr 3.71-3.80, 2 Ac 3.75-3.76
Nd 0.0358 0.3185 0.8915  5 Nd 3.69-3.80, 5 Pr 3.71-3.76, 2 Ac 3.75
Nd 0.1085 0.9642 0.6815  5 Nd 3.69-3.80, 5 Pr 3.71-3.76, 2 Ac 3.75
Nd 0.3185 0.8915 0.0358  5 Nd 3.69-3.80, 5 Pr 3.71-3.76, 2 Ac 3.75
Nd 0.6815 0.1085 0.9642  5 Nd 3.69-3.80, 5 Pr 3.71-3.76, 2 Ac 3.75
Nd 0.8915 0.0358 0.3185  5 Nd 3.69-3.80, 5 Pr 3.71-3.76, 2 Ac 3.75
Nd 0.9642 0.6815 0.1085  5 Nd 3.69-3.80, 5 Pr 3.71-3.76, 2 Ac 3.75

Results
The space group is R-3. Its calculated volume is 517.8 Å³/cell. The calculation puts the relative energy among the computed polymorphs at 0 meV/atom. As for the formation enthalpy at 0 K: 0.019 eV per atom.

***

Here is an optimized crystal structure of PrDy5Ho2 from the Alexandria database. Energies are from PBE.

Lattice parameters (Å, degrees): 6.7333 9.2070 9.2144 86.05 72.17 72.15
Closest atoms and distances in Å follow each position.
Positions (direct):
Pr 0.1277 0.2295 0.3940  5 Ho 3.52-3.64, 7 Dy 3.53-3.65
Pr 0.8723 0.7705 0.6060  5 Ho 3.52-3.64, 7 Dy 3.53-3.65
Dy 0.1233 0.8958 0.2280  7 Dy 3.49-3.64, 3 Ho 3.52-3.63, 2 Pr 3.54-3.65
Dy 0.1266 0.7286 0.8987  8 Dy 3.49-3.64, 3 Ho 3.53-3.65, 1 Pr 3.55
Dy 0.3743 0.0225 0.8551  8 Dy 3.51-3.64, 3 Ho 3.54-3.63, 1 Pr 3.63
Dy 0.3756 0.3546 0.0193  2 Ho 3.50-3.64, 9 Dy 3.51-3.64, 1 Pr 3.62
Dy 0.3773 0.5223 0.3531  5 Ho 3.50-3.66, 5 Dy 3.52-3.62, 2 Pr 3.53-3.65
Dy 0.6227 0.4777 0.6469  5 Ho 3.50-3.66, 5 Dy 3.52-3.62, 2 Pr 3.53-3.65
Dy 0.6244 0.6454 0.9807  2 Ho 3.50-3.64, 9 Dy 3.51-3.64, 1 Pr 3.62
Dy 0.6257 0.9775 0.1449  8 Dy 3.51-3.64, 3 Ho 3.54-3.63, 1 Pr 3.63
Dy 0.8734 0.2714 0.1013  8 Dy 3.49-3.64, 3 Ho 3.53-3.65, 1 Pr 3.55
Dy 0.8767 0.1042 0.7720  7 Dy 3.49-3.64, 3 Ho 3.52-3.63, 2 Pr 3.54-3.65
Ho 0.1264 0.3956 0.7305  9 Dy 3.50-3.66, 2 Pr 3.55-3.63, 1 Ho 3.63
Ho 0.3748 0.8536 0.5209  7 Dy 3.51-3.65, 3 Pr 3.52-3.64, 2 Ho 3.54-3.63
Ho 0.6252 0.1464 0.4791  7 Dy 3.51-3.65, 3 Pr 3.52-3.64, 2 Ho 3.54-3.63
Ho 0.8736 0.6044 0.2695  9 Dy 3.50-3.66, 2 Pr 3.55-3.63, 1 Ho 3.63

Results
The space group is P-1. Its calculated volume is 517.4 Å³/cell. The calculation puts the relative energy among the computed polymorphs at 0 meV/atom. As for the formation enthalpy at 0 K: 0.013 eV per atom.

***

Here is an optimized crystal structure of SiBPN4 from the Alexandria database. Energies are from PBE.

Lattice parameters (Å, degrees): 4.9148 5.0243 5.3135 107.70 96.30 104.33
Closest atoms and distances in Å follow each position.
Positions (direct):
Si 0.0000 0.0000 0.0000  4 N 1.81-1.89
Si 0.4825 0.4937 0.0490  4 N 1.81-1.97
B 0.5743 0.6675 0.6343  4 N 1.49-1.65
B 0.8532 0.4439 0.8033  4 N 1.46-1.61
P 0.0800 0.6357 0.3938  4 N 1.68-1.79
P 0.1854 0.1419 0.5450  3 N 1.65-1.71
N 0.0136 0.2528 0.3298  2 P 1.65-1.79, 1 Si 1.81
N 0.0480 0.2697 0.8238  1 B 1.46
N 0.3967 0.0829 0.0270  1 N 1.49
N 0.4288 0.6836 0.3806  1 B 1.49
N 0.5211 0.3633 0.6866  2 B 1.58-1.60, 1 P 1.68
N 0.5514 0.8645 0.9282  1 N 1.49, 1 B 1.61
N 0.8807 0.6339 0.1151  1 B 1.61, 1 P 1.68
N 0.9174 0.6842 0.6702  2 B 1.56-1.65, 1 P 1.73

Results
The space group is P1. Its calculated volume is 118.7 Å³/cell. The calculation puts the relative energy among the computed polymorphs at 567 meV/atom. The uncorrected formation energy is -262 meV per atom.

***

Here is an optimized crystal structure of AgW2Br from the Alexandria database. Energies are from PBE.

Lattice parameters (Å, degrees): 2.8545 2.8545 9.7142 90.00 90.00 116.63
Closest atoms and distances in Å follow each position.
Positions (direct):
Ag 0.0000 0.0000 0.0000  6 Ag 2.85-3.00, 4 W 2.89
W 0.5000 0.5000 0.2541  2 Br 2.82, 6 W 2.85-3.00, 2 Ag 2.89
W 0.5000 0.5000 0.7459  2 Br 2.82, 6 W 2.85-3.00, 2 Ag 2.89
Br 0.0000 0.0000 0.5000  4 W 2.82, 6 Br 2.85-3.00

Results
The space group is Cmmm. Its calculated volume is 70.8 Å³/cell. The calculation puts the relative energy among the computed polymorphs at 664 meV/atom. The uncorrected formation energy is 1161 meV per atom.

***

Here is an optimized crystal structure of Re5Pt from the Alexandria database. Energies are from PBE.

Lattice parameters (Å, degrees): 5.2429 5.2429 6.5854 103.48 103.48 30.75
Closest atoms and distances in Å follow each position.
Positions (direct):
Re 0.0000 0.0000 0.0000  10 Re 2.68-2.78, 2 Pt 2.83
Re 0.0544 0.0544 0.6217  10 Re 2.68-2.80, 2 Pt 2.76
Re 0.3332 0.3332 0.6765  10 Re 2.73-2.78, 2 Pt 2.80
Re 0.3894 0.3894 0.2845  3 Pt 2.74-2.75, 9 Re 2.77-2.80
Re 0.7218 0.7218 0.9520  11 Re 2.72-2.79, 1 Pt 2.75
Pt 0.6668 0.6668 0.3415  10 Re 2.74-2.83, 2 Pt 2.78

Results
The space group is Cm. Its calculated volume is 89.8 Å³/cell. As for the formation enthalpy at 0 K: -0.068 eV per atom.

***

Here is an optimized crystal structure of Rb2BaTeF6 from the Alexandria database. Energies are from PBE.

Lattice parameters (Å, degrees): 7.8406 7.8406 7.8406 130.06 130.06 73.32
Closest atoms and distances in Å follow each position.
Positions (direct):
Rb 0.2500 0.7500 0.5000  4 F 3.37
Rb 0.7500 0.2500 0.5000  4 F 3.37
Ba 0.0000 0.0000 0.0000  6 F 2.54
Te 0.5000 0.5000 0.0000  4 F 2.14
F 0.2018 0.2018 0.0000  1 Ba 2.54
F 0.2717 0.2717 0.5433  1 Te 2.14
F 0.2717 0.7283 0.0000  1 Te 2.14
F 0.7283 0.2717 0.0000  1 Te 2.14
F 0.7283 0.7283 0.4567  1 Te 2.14
F 0.7982 0.7982 0.0000  1 Ba 2.54

Results
The space group is I4/mmm. Its calculated volume is 275.7 Å³/cell. The uncorrected formation energy is -2594 meV per atom.

***

Here is an optimized crystal structure of CrIn2AsRu from the Alexandria database. Energies are from PBE.

Lattice parameters (Å, degrees): 5.1223 5.1223 4.3629 90.00 90.00 90.00
Closest atoms and distances in Å follow each position.
Positions (direct):
Cr 0.0000 0.0000 0.0000  2 Ru 2.18
In 0.0000 0.5000 0.0000  2 Cr 2.56
In 0.5000 0.0000 0.0000  2 Cr 2.56
As 0.5000 0.5000 0.5000  8 In 3.36, 4 Ru 3.62
Ru 0.0000 0.0000 0.5000  2 Cr 2.18

Results
The space group is P4/mmm. Its calculated volume is 114.5 Å³/cell. As for the formation enthalpy at 0 K: 0.885 eV per atom.

***

Here is an optimized crystal structure of YMg2Hg from the Alexandria database. Energies are from PBE.

Lattice parameters (Å, degrees): 6.3653 6.3653 3.2786 103.04 103.04 121.55
Closest atoms and distances in Å follow each position.
Positions (direct):
Y 0.0000 0.0000 0.0000  4 Hg 3.11-3.32, 4 Mg 3.23, 2 Y 3.28
Mg 0.0000 0.5000 0.5000  6 Mg 3.11-3.32, 2 Hg 3.23, 2 Y 3.23
Mg 0.5000 0.0000 0.5000  6 Mg 3.11-3.32, 2 Hg 3.23, 2 Y 3.23
Hg 0.5000 0.5000 0.0000  4 Y 3.11-3.32, 4 Mg 3.23, 2 Hg 3.28

Results
The space group is C2/m. Its calculated volume is 100.4 Å³/cell. As for the formation enthalpy at 0 K: -0.107 eV per atom.

***

no.,DFT total energy (eV/atom)
1,-3.764
2,-4.417
3,-4.660
4,-4.605
5,-7.521
6,-6.447
7,-11.448
8,-4.417
9,-4.920
10,-2.596